UCoNiGe2: optimized geometry, PBE-GGA.

Cell: 4.048 4.048 9.589 Å, 90.00 90.00 90.00°
Element x y z (fractional)
U (0.250, 0.250, 0.250)
U (0.750, 0.750, 0.750)
Co (0.250, 0.250, 0.629)
Co (0.750, 0.750, 0.371)
Ni (0.250, 0.750, 0.000)
Ni (0.750, 0.250, 0.000)
Ge (0.250, 0.250, 0.868)
Ge (0.250, 0.750, 0.500)
Ge (0.750, 0.250, 0.500)
Ge (0.750, 0.750, 0.132)

Summary:
The calculation puts the total DFT energy (no corrections) at -70.64 eV per cell. The space group is No. 129.